(1)
Below is HoThSc6 after structural relaxation, with properties calculated at the PBE-GGA level.

DOS at the Fermi energy	1.887	states/eV/atom
space group	Cmmm
V	26.2	Å³ per atom
E_form	4	kJ per mole of atoms
electronic total energy	-0.2281	Ha/atom

Cell lengths 4.6876, 6.6813, 6.6813 Å; angles 90.11, 90.00, 90.00 degrees
Atoms (fractional coordinates):
Ho (0.5000, 0.5000, 0.5000)
Sc (0.5000, 0.5000, 0.0000)
Sc (0.0000, 0.7524, 0.2476)
Th (0.5000, 0.0000, 0.0000)
Sc (0.0000, 0.2476, 0.7524)
Sc (0.5000, 0.0000, 0.5000)
Sc (0.0000, 0.7524, 0.7524)
Sc (0.0000, 0.2476, 0.2476)


(2)
Below is Ho4ThSc8 after structural relaxation, with properties calculated at the PBE-GGA level.

DOS at the Fermi energy	1.958	states/eV/atom
space group	R-3m
V	30.7	Å³ per atom
E_form	56	kJ per mole of atoms
electronic total energy	-0.1944	Ha/atom

Cell lengths 7.3598, 7.3598, 7.3598 Å; angles 90.10, 90.10, 90.10 degrees
Atoms (fractional coordinates):
Sc (0.7604, 0.7604, 0.2408)
Th (0.5000, 0.5000, 0.5000)
Ho (0.0000, 0.0000, 0.0000)
Ho (0.5000, 0.0000, 0.5000)
Ho (0.5000, 0.5000, 0.0000)
Ho (0.0000, 0.5000, 0.5000)
Sc (0.7592, 0.2396, 0.2396)
Sc (0.2400, 0.2400, 0.2400)
Sc (0.2396, 0.2396, 0.7592)
Sc (0.7600, 0.7600, 0.7600)
Sc (0.2396, 0.7592, 0.2396)
Sc (0.7604, 0.2408, 0.7604)
Sc (0.2408, 0.7604, 0.7604)


(3)
Below is HoTh6Sc4 after structural relaxation, with properties calculated at the PBE-GGA level.

DOS at the Fermi energy	1.400	states/eV/atom
space group	I-42m
V	30.5	Å³ per atom
E_form	39	kJ per mole of atoms
electronic total energy	-0.2339	Ha/atom

Cell lengths 6.9156, 6.9156, 8.5449 Å; angles 113.87, 113.87, 90.00 degrees
Atoms (fractional coordinates):
Sc (0.7439, 0.0667, 0.8105)
Sc (0.0667, 0.7439, 0.8105)
Ho (0.5000, 0.5000, 0.0000)
Th (0.1061, 0.1061, 0.6297)
Th (0.5000, 0.0000, 0.0000)
Th (0.0000, 0.5000, 0.0000)
Th (0.4764, 0.8939, 0.3703)
Sc (0.2561, 0.2561, 0.1895)
Th (0.8939, 0.4764, 0.3703)
Sc (0.9333, 0.9333, 0.1895)
Th (0.5236, 0.5236, 0.6297)


(4)
Below is Ho7ThSc4 after structural relaxation, with properties calculated at the PBE-GGA level.

DOS at the Fermi energy	1.478	states/eV/atom
space group	P-1
V	28.8	Å³ per atom
E_form	2	kJ per mole of atoms
electronic total energy	-0.1977	Ha/atom

Cell lengths 6.9403, 9.1789, 8.5465 Å; angles 81.16, 90.26, 40.90 degrees
Atoms (fractional coordinates):
Ho (0.5000, 0.0000, 0.0000)
Ho (0.7769, 0.2222, 0.3350)
Sc (0.5245, 0.7291, 0.3338)
Sc (0.2835, 0.2166, 0.3426)
Ho (0.9730, 0.2823, 0.6624)
Sc (0.4755, 0.2709, 0.6662)
Ho (0.2494, 0.4991, 0.9957)
Ho (0.2231, 0.7778, 0.6650)
Sc (0.7165, 0.7834, 0.6574)
Ho (0.7506, 0.5009, 0.0043)
Th (0.0000, 0.0000, 0.0000)
Ho (0.0270, 0.7177, 0.3376)


(5)
Below is Ho6Th7Sc16 after structural relaxation, with properties calculated at the PBE-GGA level.

DOS at the Fermi energy	1.916	states/eV/atom
space group	Fm-3m
V	30.2	Å³ per atom
E_form	22	kJ per mole of atoms
electronic total energy	-0.2208	Ha/atom

Cell lengths 10.7409, 10.7409, 10.7409 Å; angles 60.00, 60.00, 60.00 degrees
Atoms (fractional coordinates):
Sc (0.1266, 0.1266, 0.1266)
Sc (0.1266, 0.1266, 0.6202)
Th (0.0000, 0.5000, 0.5000)
Ho (0.2619, 0.7381, 0.2619)
Ho (0.2619, 0.7381, 0.7381)
Sc (0.1266, 0.6202, 0.1266)
Sc (0.9994, 0.6669, 0.6669)
Ho (0.2619, 0.2619, 0.7381)
Sc (0.8734, 0.8734, 0.3798)
Th (0.0000, 0.0000, 0.0000)
Sc (0.6669, 0.6669, 0.6669)
Ho (0.7381, 0.2619, 0.7381)
Sc (0.3331, 0.3331, 0.0006)
Ho (0.7381, 0.7381, 0.2619)
Th (0.0000, 0.5000, 0.0000)
Th (0.5000, 0.0000, 0.0000)
Sc (0.6202, 0.1266, 0.1266)
Th (0.0000, 0.0000, 0.5000)
Th (0.5000, 0.0000, 0.5000)
Sc (0.3331, 0.3331, 0.3331)
Sc (0.6669, 0.9994, 0.6669)
Sc (0.3331, 0.0006, 0.3331)
Sc (0.6669, 0.6669, 0.9994)
Sc (0.0006, 0.3331, 0.3331)
Sc (0.8734, 0.8734, 0.8734)
Sc (0.8734, 0.3798, 0.8734)
Th (0.5000, 0.5000, 0.0000)
Ho (0.7381, 0.2619, 0.2619)
Sc (0.3798, 0.8734, 0.8734)


(6)
Below is HoThSc4 after structural relaxation, with properties calculated at the PBE-GGA level.

DOS at the Fermi energy	1.476	states/eV/atom
space group	Immm
V	26.6	Å³ per atom
E_form	3	kJ per mole of atoms
electronic total energy	-0.2275	Ha/atom

Cell lengths 5.2780, 6.2412, 6.2424 Å; angles 95.08, 64.99, 64.99 degrees
Atoms (fractional coordinates):
Sc (0.2498, 0.0834, 0.4171)
Ho (0.5000, 0.5000, 0.5000)
Sc (0.7502, 0.9166, 0.5829)
Sc (0.7504, 0.5827, 0.9165)
Th (0.0000, 0.0000, 0.0000)
Sc (0.2496, 0.4173, 0.0835)